## PrSb2Pd (PBE)

Data for crystalline PrSb2Pd at its relaxed geometry.

Calculated values
- Energy: -5.03 eV per atom
- Formation energy from raw total energies: -0.479 eV per atom

Cell: 5.726 5.726 6.323 Å, 90.00 90.00 90.00°
Space group P4/nmm (No. 129, origin choice 2)
Unique sites:
Pr  0.250  0.250  0.180 [2 per cell]
Sb  0.250  0.250  0.670 [2 per cell]
Sb  0.250  0.750  0.000 [2 per cell]
Pd  0.250  0.750  0.500 [2 per cell]